# 1
GaReMo2 | SCAN | single point on PBEsol structure

Results
Total DFT energy (no corrections) ... -39.23 eV per atom
Energy of formation ... 6.9 kJ/mol of atoms
M_tot ... 0.0 Bohr magnetons per cell

The structure in POSCAR format:
```
GaReMo2
1.0
4.380 0.000 0.000
2.190 3.793 0.000
2.190 1.264 3.576
Re Mo Ga
1 2 1
Direct
0.500 0.500 0.500 Re
0.250 0.250 0.250 Mo
0.750 0.750 0.750 Mo
0.000 0.000 0.000 Ga
```

=====

# 2
Ga3MoRu | SCAN | single point on PBEsol structure

Results
Total DFT energy (no corrections) ... -23.13 eV per atom
Energy of formation ... 59.7 kJ/mol of atoms
M_tot ... 4.9 Bohr magnetons per cell

The structure in POSCAR format:
```
Ga3MoRu
1.0
4.614 0.000 0.000
0.000 4.614 0.000
0.000 0.000 4.614
Ru Mo Ga
1 1 3
Direct
0.000 0.000 0.000 Ru
0.500 0.500 0.500 Mo
0.000 0.500 0.000 Ga
0.000 0.000 0.500 Ga
0.500 0.000 0.000 Ga
```

=====

# 3
GaMo3S | SCAN | single point on PBEsol structure

Results
Uncorrected formation energy ... 1.927 eV/atom
Total DFT energy (no corrections) ... -24.20 eV per atom
M_tot ... 0.0 Bohr magnetons per cell

The structure in POSCAR format:
```
GaMo3S
1.0
-1.385 2.758 3.366
-4.309 -0.379 -1.463
-0.604 -3.620 2.717
Mo S Ga
3 1 1
Direct
0.000 0.500 0.000 Mo
0.000 0.000 0.500 Mo
0.500 0.000 0.000 Mo
0.500 0.500 0.500 S
0.000 0.000 0.000 Ga
```

=====

# 4
GaMo4Se4S4 | SCAN | single point on PBEsol structure

Results
Uncorrected formation energy ... -0.785 eV/atom
Total DFT energy (no corrections) ... -21.92 eV per atom
M_tot ... 1.1 Bohr magnetons per cell

The structure in POSCAR format:
```
GaMo4Se4S4
1.0
-1.099 -4.175 -5.592
-5.001 -4.984 0.241
-5.887 0.715 -3.839
Ga Mo Se S
1 4 4 4
Direct
0.000 0.000 0.000 Ga
0.203 0.599 0.599 Mo
0.599 0.599 0.599 Mo
0.599 0.203 0.599 Mo
0.599 0.599 0.203 Mo
0.412 0.863 0.863 Se
0.863 0.863 0.863 Se
0.863 0.412 0.863 Se
0.863 0.863 0.412 Se
0.893 0.369 0.369 S
0.369 0.369 0.369 S
0.369 0.893 0.369 S
0.369 0.369 0.893 S
```

=====

# 5
Sc3GaMo | SCAN | single point on PBEsol structure

Results
Total DFT energy (no corrections) ... -18.15 eV per atom
Energy of formation ... 61.2 kJ/mol of atoms
M_tot ... 4.0 Bohr magnetons per cell

The structure in POSCAR format:
```
Sc3GaMo
1.0
4.939 0.000 0.000
0.000 4.939 0.000
0.000 0.000 4.939
Sc Mo Ga
3 1 1
Direct
0.000 0.500 0.000 Sc
0.000 0.000 0.500 Sc
0.500 0.000 0.000 Sc
0.500 0.500 0.500 Mo
0.000 0.000 0.000 Ga
```

=====

# 6
GaMo4Se8 | SCAN | single point on PBEsol structure

Results
Uncorrected formation energy ... -0.636 eV/atom
Total DFT energy (no corrections) ... -24.98 eV per atom
M_tot ... 1.1 Bohr magnetons per cell

The structure in POSCAR format:
```
GaMo4Se8
1.0
-5.819 1.839 3.730
-2.664 -4.471 4.906
0.560 1.576 6.955
Ga Mo Se
1 4 8
Direct
0.000 0.000 0.000 Ga
0.199 0.600 0.600 Mo
0.600 0.600 0.600 Mo
0.600 0.199 0.600 Mo
0.600 0.600 0.199 Mo
0.413 0.862 0.862 Se
0.862 0.862 0.862 Se
0.862 0.413 0.862 Se
0.363 0.363 0.911 Se
0.363 0.911 0.363 Se
0.363 0.363 0.363 Se
0.911 0.363 0.363 Se
0.862 0.862 0.413 Se
```